P) {"formula": "Li4TeO5", "functional": "PBE-GGA", "state": "optimized geometry", "lattice": [[5.1839, 0.0000, 0.0000], [-1.0841, 5.1449, 0.0000], [-1.6412, -2.7643, 7.1748]], "species": ["Li", "Li", "Li", "Li", "Li", "Li", "Li", "Li", "Te", "Te", "O", "O", "O", "O", "O", "O", "O", "O", "O", "O"], "fractional_positions": [[0.0000, 0.0000, 0.0000], [0.0771, 0.1987, 0.6827], [0.2049, 0.3850, 0.3959], [0.2743, 0.6067, 0.1123], [0.5000, 0.0000, 0.5000], [0.7257, 0.3933, 0.8877], [0.7951, 0.6150, 0.6041], [0.9229, 0.8013, 0.3173], [0.3910, 0.7904, 0.7885], [0.6090, 0.2096, 0.2115], [0.0758, 0.6101, 0.8469], [0.1638, 0.8192, 0.5735], [0.2822, 0.0092, 0.2496], [0.3679, 0.1684, 0.9558], [0.4487, 0.4414, 0.6707], [0.5513, 0.5586, 0.3293], [0.6321, 0.8316, 0.0442], [0.7178, 0.9908, 0.7504], [0.8362, 0.1808, 0.4265], [0.9242, 0.3899, 0.1531]]}



Q) {"formula": "Li4TeO5", "functional": "PBE-GGA", "state": "optimized geometry", "lattice": [[6.0054, 0.0000, 0.0000], [-2.9291, 5.5028, 0.0000], [-1.3771, -2.3512, 7.2431]], "species": ["Li", "Li", "Li", "Li", "Li", "Li", "Li", "Li", "Te", "Te", "O", "O", "O", "O", "O", "O", "O", "O", "O", "O"], "fractional_positions": [[0.0000, 0.0000, 0.0000], [0.0052, 0.6853, 0.1923], [0.1037, 0.2621, 0.3818], [0.4730, 0.3198, 0.7636], [0.5000, 0.0000, 0.5000], [0.5270, 0.6802, 0.2364], [0.8963, 0.7379, 0.6182], [0.9948, 0.3147, 0.8077], [0.4432, 0.7842, 0.8040], [0.5568, 0.2158, 0.1960], [0.1376, 0.4531, 0.1967], [0.2395, 0.3714, 0.0471], [0.2509, 0.4417, 0.6496], [0.2529, 0.0566, 0.2787], [0.2910, 0.9428, 0.6744], [0.7090, 0.0572, 0.3256], [0.7471, 0.9434, 0.7213], [0.7491, 0.5583, 0.3504], [0.7605, 0.6286, 0.9529], [0.8624, 0.5469, 0.8033]]}



R) {"formula": "Li4TeO5", "functional": "PBE-GGA", "state": "optimized geometry", "lattice": [[-3.4632, 3.4632, 2.0264], [3.4632, -3.4632, 2.0264], [3.4632, 3.4632, -2.0264]], "species": ["Li", "Li", "Li", "Li", "Te", "O", "O", "O", "O", "O"], "fractional_positions": [[0.1181, 0.3099, 0.4281], [0.3099, 0.8819, 0.1918], [0.6901, 0.1181, 0.8082], [0.8819, 0.6901, 0.5719], [0.5000, 0.5000, 0.0000], [0.0000, 0.0000, 0.0000], [0.2338, 0.5803, 0.8141], [0.4197, 0.2338, 0.6536], [0.5803, 0.7662, 0.3464], [0.7662, 0.4197, 0.1859]]}



Pick the least stable structure from those above. Pick: Q)